No. 1
Density functional theory data (PBE) for a relaxed CaAc4La5 crystal.

a = 3.744 Å, b = 7.305 Å, c = 15.338 Å
α = 96.42°, β = 97.01°, γ = 90.00°
Fractional coordinates of all 10 atoms:
La: 0.205 0.601 0.411
La: 0.500 0.500 0.000
Ca: 0.500 0.000 0.000
Ac: 0.612 0.808 0.223
Ac: 0.388 0.192 0.777
La: 0.209 0.107 0.417
La: 0.791 0.893 0.583
Ac: 0.097 0.318 0.193
Ac: 0.903 0.682 0.807
La: 0.795 0.399 0.589

Results
Energy of formation from the pure elements: 0.117 eV per atom



No. 2
Density functional theory data (PBE) for a relaxed Ca2Ac3La crystal.

a = 5.564 Å, b = 10.335 Å, c = 10.335 Å
α = 105.76°, β = 105.62°, γ = 105.62°
Fractional coordinates of all 12 atoms:
Ac: 0.500 0.000 0.500
Ca: 0.250 0.248 0.752
Ac: 0.000 0.500 0.000
Ca: 0.750 0.081 0.919
Ac: 0.489 0.656 0.822
Ac: 0.989 0.822 0.656
Ca: 0.250 0.919 0.081
Ac: 0.511 0.344 0.178
La: 0.750 0.420 0.580
Ca: 0.750 0.752 0.248
La: 0.250 0.580 0.420
Ac: 0.011 0.178 0.344

Results
ΔE to the lowest computed polymorph: 0.000 eV per atom
Energy of formation from the pure elements: 0.045 eV per atom



No. 3
Density functional theory data (PBE) for a relaxed Ca2Ac7La3 crystal.

a = 3.842 Å, b = 6.495 Å, c = 20.826 Å
α = 93.72°, β = 90.00°, γ = 90.00°
Fractional coordinates of all 12 atoms:
La: 0.500 0.500 0.000
Ac: 0.500 0.743 0.467
Ca: 0.500 0.306 0.704
Ac: 0.000 0.662 0.141
Ca: 0.500 0.694 0.296
Ac: 0.500 0.257 0.533
Ac: 0.000 0.338 0.859
La: 0.000 0.209 0.371
Ac: 0.000 0.000 0.000
Ac: 0.500 0.834 0.816
Ac: 0.500 0.166 0.184
La: 0.000 0.791 0.629

Results
Energy of formation from the pure elements: 0.117 eV per atom



No. 4
Density functional theory data (PBE) for a relaxed CaAc12La7 crystal.

a = 10.649 Å, b = 10.649 Å, c = 10.649 Å
α = 109.47°, β = 109.47°, γ = 109.47°
Fractional coordinates of all 20 atoms:
Ac: 0.296 0.216 0.513
Ac: 0.920 0.704 0.216
La: 0.000 0.500 0.500
Ac: 0.080 0.296 0.784
La: 0.500 0.500 0.500
Ac: 0.784 0.080 0.296
La: 0.000 0.000 0.500
Ac: 0.704 0.216 0.920
Ac: 0.487 0.704 0.784
Ac: 0.784 0.487 0.704
La: 0.500 0.500 0.000
La: 0.500 0.000 0.500
Ac: 0.704 0.784 0.487
La: 0.000 0.500 0.000
Ac: 0.216 0.513 0.296
Ac: 0.513 0.296 0.216
Ac: 0.216 0.920 0.704
Ca: 0.000 0.000 0.000
Ac: 0.296 0.784 0.080
La: 0.500 0.000 0.000

Results
ΔE to the lowest computed polymorph: 0.420 eV per atom
Energy of formation from the pure elements: 0.543 eV per atom



No. 5
Density functional theory data (PBE) for a relaxed CaAc8La6 crystal.

a = 9.343 Å, b = 9.343 Å, c = 9.343 Å
α = 67.03°, β = 67.03°, γ = 67.03°
Fractional coordinates of all 15 atoms:
Ac: 0.258 0.258 0.258
Ac: 0.742 0.742 0.742
Ac: 0.871 0.174 0.586
La: 0.921 0.619 0.338
La: 0.619 0.338 0.921
Ac: 0.174 0.586 0.871
La: 0.338 0.921 0.619
La: 0.381 0.662 0.079
Ac: 0.586 0.871 0.174
Ac: 0.414 0.129 0.826
Ca: 0.000 0.000 0.000
Ac: 0.129 0.826 0.414
La: 0.079 0.381 0.662
Ac: 0.826 0.414 0.129
La: 0.662 0.079 0.381

Results
Energy of formation from the pure elements: 0.217 eV per atom



No. 6
Density functional theory data (PBE) for a relaxed Ca2Ac7La2 crystal.

a = 7.110 Å, b = 7.110 Å, c = 9.691 Å
α = 82.12°, β = 82.12°, γ = 93.68°
Fractional coordinates of all 11 atoms:
Ac: 0.437 0.069 0.213
Ac: 0.069 0.437 0.213
Ac: 0.931 0.563 0.787
Ac: 0.857 0.857 0.405
La: 0.669 0.331 0.500
Ca: 0.404 0.404 0.854
Ac: 0.000 0.000 0.000
Ac: 0.563 0.931 0.787
La: 0.331 0.669 0.500
Ac: 0.143 0.143 0.595
Ca: 0.596 0.596 0.146

Results
ΔE to the lowest computed polymorph: 0.000 eV per atom
Energy of formation from the pure elements: 0.116 eV per atom



No. 7
Density functional theory data (PBE) for a relaxed CaAcLa2 crystal.

a = 5.447 Å, b = 5.393 Å, c = 5.393 Å
α = 90.00°, β = 90.00°, γ = 90.00°
Fractional coordinates of all 4 atoms:
Ca: 0.500 0.000 0.000
Ac: 0.500 0.500 0.500
La: 0.000 0.500 0.000
La: 0.000 0.000 0.500

Results
ΔE to the lowest computed polymorph: 0.028 eV per atom
Energy of formation from the pure elements: 0.051 eV per atom



No. 8
Density functional theory data (PBE) for a relaxed CaAcLa crystal.

a = 5.266 Å, b = 5.266 Å, c = 9.213 Å
α = 90.00°, β = 90.00°, γ = 90.00°
Fractional coordinates of all 6 atoms:
Ac: 0.500 0.500 0.000
Ac: 0.000 0.000 0.000
Ca: 0.500 0.000 0.678
La: 0.500 0.000 0.281
La: 0.000 0.500 0.719
Ca: 0.000 0.500 0.322

Results
ΔE to the lowest computed polymorph: 0.213 eV per atom
Energy of formation from the pure elements: 0.235 eV per atom



No. 9
Density functional theory data (PBE) for a relaxed CaAc5La8 crystal.

a = 9.099 Å, b = 9.099 Å, c = 9.099 Å
α = 110.73°, β = 106.99°, γ = 110.73°
Fractional coordinates of all 14 atoms:
La: 0.734 0.260 0.332
La: 0.927 0.094 0.663
La: 0.568 0.906 0.832
La: 0.073 0.740 0.474
La: 0.668 0.401 0.927
La: 0.337 0.264 0.432
Ac: 0.500 0.000 0.500
Ac: 0.291 0.101 0.969
Ac: 0.031 0.322 0.132
La: 0.526 0.599 0.266
Ca: 0.250 0.500 0.750
Ac: 0.810 0.678 0.709
Ac: 0.868 0.899 0.190
La: 0.168 0.736 0.073

Results
Energy of formation from the pure elements: 0.218 eV per atom



No. 10
Density functional theory data (PBE) for a relaxed CaAcLa2 crystal.

a = 3.854 Å, b = 3.854 Å, c = 10.800 Å
α = 90.00°, β = 90.00°, γ = 90.00°
Fractional coordinates of all 4 atoms:
Ac: 0.500 0.500 0.000
La: 0.000 0.000 0.240
La: 0.000 0.000 0.760
Ca: 0.500 0.500 0.500

Results
ΔE to the lowest computed polymorph: 0.013 eV per atom
Energy of formation from the pure elements: 0.037 eV per atom



No. 11
Density functional theory data (PBE) for a relaxed CaAc6La2 crystal.

a = 7.581 Å, b = 7.733 Å, c = 15.060 Å
α = 116.56°, β = 90.00°, γ = 90.00°
Fractional coordinates of all 18 atoms:
Ac: 0.677 0.823 0.908
Ac: 0.421 0.297 0.655
Ac: 0.823 0.323 0.408
Ac: 0.323 0.177 0.092
La: 0.116 0.571 0.318
Ca: 0.000 0.000 0.500
Ac: 0.079 0.797 0.155
La: 0.384 0.071 0.818
Ac: 0.329 0.199 0.379
La: 0.616 0.929 0.182
Ac: 0.671 0.801 0.621
La: 0.884 0.429 0.682
Ac: 0.921 0.203 0.845
Ac: 0.579 0.703 0.345
Ca: 0.500 0.500 0.000
Ac: 0.177 0.677 0.592
Ac: 0.171 0.699 0.879
Ac: 0.829 0.301 0.121

Results
ΔE to the lowest computed polymorph: 0.130 eV per atom
Energy of formation from the pure elements: 0.191 eV per atom



No. 12
Density functional theory data (PBE) for a relaxed CaAc3La2 crystal.

a = 3.910 Å, b = 3.910 Å, c = 16.450 Å
α = 90.00°, β = 90.00°, γ = 90.00°
Fractional coordinates of all 6 atoms:
Ac: 0.000 0.000 0.675
La: 0.500 0.500 0.834
La: 0.500 0.500 0.166
Ac: 0.000 0.000 0.000
Ac: 0.000 0.000 0.325
Ca: 0.500 0.500 0.500

Results
ΔE to the lowest computed polymorph: 0.000 eV per atom
Energy of formation from the pure elements: 0.018 eV per atom



No. 13
Density functional theory data (PBE) for a relaxed Ca4AcLa2 crystal.

a = 3.856 Å, b = 3.856 Å, c = 22.456 Å
α = 85.08°, β = 85.08°, γ = 60.00°
Fractional coordinates of all 7 atoms:
Ca: 0.382 0.382 0.853
Ca: 0.618 0.618 0.147
La: 0.188 0.188 0.436
Ac: 0.000 0.000 0.000
Ca: 0.903 0.903 0.292
La: 0.812 0.812 0.564
Ca: 0.097 0.097 0.708

Results
ΔE to the lowest computed polymorph: 0.000 eV per atom
Energy of formation from the pure elements: 0.034 eV per atom



No. 14
Density functional theory data (PBE) for a relaxed CaAcLa3 crystal.

a = 6.147 Å, b = 7.530 Å, c = 13.036 Å
α = 135.60°, β = 103.64°, γ = 90.00°
Fractional coordinates of all 10 atoms:
La: 0.986 0.714 0.971
La: 0.612 0.393 0.225
La: 0.800 0.114 0.600
La: 0.014 0.286 0.029
La: 0.388 0.607 0.775
La: 0.200 0.886 0.400
Ac: 0.188 0.359 0.376
Ac: 0.812 0.641 0.624
Ca: 0.603 0.862 0.205
Ca: 0.397 0.138 0.795

Results
ΔE to the lowest computed polymorph: 0.000 eV per atom
Energy of formation from the pure elements: 0.108 eV per atom



No. 15
Density functional theory data (PBE) for a relaxed Ca4AcLa3 crystal.

a = 5.433 Å, b = 10.997 Å, c = 10.880 Å
α = 90.00°, β = 90.00°, γ = 90.00°
Fractional coordinates of all 16 atoms:
Ca: 0.564 0.126 0.000
La: 0.564 0.387 0.250
Ca: 0.064 0.874 0.500
Ca: 0.564 0.871 0.752
Ca: 0.064 0.129 0.748
La: 0.564 0.614 0.000
Ac: 0.564 0.617 0.500
La: 0.064 0.613 0.750
Ac: 0.064 0.383 0.000
La: 0.564 0.387 0.750
Ca: 0.064 0.869 0.000
La: 0.064 0.386 0.500
Ca: 0.064 0.129 0.252
Ca: 0.564 0.131 0.500
Ca: 0.564 0.871 0.248
La: 0.064 0.613 0.250

Results
Energy of formation from the pure elements: 0.022 eV per atom



No. 16
Density functional theory data (PBE) for a relaxed CaAc8La3 crystal.

a = 9.491 Å, b = 9.491 Å, c = 9.491 Å
α = 95.47°, β = 101.87°, γ = 134.33°
Fractional coordinates of all 12 atoms:
Ac: 0.970 0.239 0.731
Ac: 0.832 0.752 0.584
Ca: 0.000 0.000 0.000
Ac: 0.030 0.760 0.269
La: 0.500 0.218 0.718
Ac: 0.168 0.248 0.416
La: 0.500 0.782 0.282
Ac: 0.491 0.761 0.731
Ac: 0.168 0.752 0.920
Ac: 0.509 0.240 0.269
La: 0.000 0.500 0.500
Ac: 0.832 0.248 0.080

Results
Energy of formation from the pure elements: 0.302 eV per atom



No. 17
Density functional theory data (PBE) for a relaxed Ca2Ac9La crystal.

a = 5.595 Å, b = 5.595 Å, c = 16.755 Å
α = 90.00°, β = 90.00°, γ = 90.00°
Fractional coordinates of all 12 atoms:
Ac: 0.500 0.000 0.163
Ca: 0.000 0.000 0.668
Ac: 0.000 0.500 0.500
Ac: 0.500 0.500 0.667
Ac: 0.000 0.500 0.163
Ac: 0.500 0.500 0.333
Ac: 0.000 0.500 0.837
Ac: 0.500 0.500 0.000
Ac: 0.500 0.000 0.837
La: 0.000 0.000 0.000
Ac: 0.500 0.000 0.500
Ca: 0.000 0.000 0.332

Results
Energy of formation from the pure elements: 0.022 eV per atom



No. 18
Density functional theory data (PBE) for a relaxed CaAc5La4 crystal.

a = 3.900 Å, b = 3.900 Å, c = 27.282 Å
α = 90.00°, β = 90.00°, γ = 90.00°
Fractional coordinates of all 10 atoms:
Ac: 0.500 0.500 0.895
La: 0.000 0.000 0.401
Ac: 0.500 0.500 0.105
Ac: 0.500 0.500 0.699
Ac: 0.500 0.500 0.500
Ac: 0.500 0.500 0.301
La: 0.000 0.000 0.798
La: 0.000 0.000 0.202
La: 0.000 0.000 0.599
Ca: 0.000 0.000 0.000

Results
Energy of formation from the pure elements: 0.019 eV per atom



No. 19
Density functional theory data (PBE) for a relaxed CaAc4La crystal.

a = 6.899 Å, b = 7.474 Å, c = 10.174 Å
α = 96.74°, β = 90.00°, γ = 90.00°
Fractional coordinates of all 12 atoms:
Ac: 0.093 0.082 0.836
Ac: 0.579 0.923 0.671
Ac: 0.579 0.577 0.329
Ac: 0.907 0.582 0.836
Ca: 0.921 0.250 0.500
La: 0.577 0.250 0.000
Ac: 0.907 0.918 0.164
Ac: 0.093 0.418 0.164
Ac: 0.421 0.077 0.329
Ac: 0.421 0.423 0.671
La: 0.423 0.750 0.000
Ca: 0.079 0.750 0.500

Results
ΔE to the lowest computed polymorph: 0.000 eV per atom
Energy of formation from the pure elements: 0.024 eV per atom



No. 20
Density functional theory data (PBE) for a relaxed CaAcLa2 crystal.

a = 3.832 Å, b = 3.832 Å, c = 12.865 Å
α = 81.43°, β = 81.43°, γ = 60.00°
Fractional coordinates of all 4 atoms:
La: 0.252 0.252 0.244
Ac: 0.667 0.667 0.000
Ca: 0.500 0.500 0.499
La: 0.081 0.081 0.757

Results
ΔE to the lowest computed polymorph: 0.016 eV per atom
Energy of formation from the pure elements: 0.039 eV per atom